Material: Be17Nb2
Method: DFT, SCAN
State: PBEsol geometry

Properties
For the formation energy from the elements, the calculation gives -0.18 eV per atom. The density of states at the Fermi level is 4.29 states/eV/f.u.

Cell: 5.539 5.539 5.539 Å, 83.04 83.04 83.04°
Fractional coordinates of all 19 atoms:
Be (0.000, 0.500, 0.500)
Be (0.847, 0.847, 0.340)
Be (0.401, 0.401, 0.401)
Be (0.660, 0.153, 0.153)
Be (0.500, 0.794, 0.206)
Be (0.599, 0.599, 0.599)
Be (0.500, 0.206, 0.794)
Be (0.500, 0.000, 0.500)
Be (0.153, 0.660, 0.153)
Be (0.206, 0.794, 0.500)
Be (0.153, 0.153, 0.660)
Be (0.206, 0.500, 0.794)
Be (0.340, 0.847, 0.847)
Be (0.794, 0.206, 0.500)
Be (0.500, 0.500, 0.000)
Be (0.847, 0.340, 0.847)
Be (0.794, 0.500, 0.206)
Nb (0.840, 0.840, 0.840)
Nb (0.160, 0.160, 0.160)

=====

Material: CoI2NO
Method: DFT, SCAN
State: PBEsol geometry

Properties
The density of states at the Fermi level is 3.20 states/eV/f.u. The value obtained for the formation energy (no corrections) is 868 meV per atom.

Cell: 3.355 5.228 5.228 Å, 90.00 90.00 90.00°
Fractional coordinates of all 5 atoms:
N (0.500, 0.000, 0.000)
I (0.000, 0.000, 0.500)
I (0.000, 0.500, 0.000)
Co (0.000, 0.000, 0.000)
O (0.500, 0.500, 0.500)

=====

Material: CoBiIN2
Method: DFT, SCAN
State: PBEsol geometry

Properties
The density of states at the Fermi level is 2.14 states/eV/f.u. The value obtained for the formation energy (no corrections) is 1452 meV per atom.

Cell: 4.093 4.093 4.927 Å, 90.00 90.00 90.00°
Fractional coordinates of all 5 atoms:
I (0.000, 0.000, 0.500)
Co (0.000, 0.000, 0.000)
Bi (0.500, 0.500, 0.500)
N (0.500, 0.000, 0.000)
N (0.000, 0.500, 0.000)

=====

Material: BaP2RuS
Method: DFT, SCAN
State: PBEsol geometry

Properties
The density of states at the Fermi level is 2.90 states/eV/f.u. The value obtained for the formation energy (no corrections) is -526 meV per atom.

Cell: 4.480 4.480 5.398 Å, 90.00 90.00 90.00°
Fractional coordinates of all 5 atoms:
P (0.000, 0.500, 0.000)
P (0.500, 0.000, 0.000)
S (0.000, 0.000, 0.500)
Ru (0.000, 0.000, 0.000)
Ba (0.500, 0.500, 0.500)

=====

Material: Tc2AgIr
Method: DFT, SCAN
State: PBEsol geometry

Properties
For the formation energy from the elements, the calculation gives 0.39 eV per atom. Its energy above the most stable polymorph in this dataset is 0.0 meV per atom. The density of states at the Fermi level is 4.14 states/eV/f.u.

Cell: 3.759 3.759 4.866 Å, 112.73 112.73 90.00°
Fractional coordinates of all 4 atoms:
Tc (0.750, 0.250, 0.500)
Tc (0.250, 0.750, 0.500)
Ag (0.000, 0.000, 0.000)
Ir (0.500, 0.500, 0.000)

=====

Material: Zn2SeBr
Method: DFT, SCAN
State: PBEsol geometry

Properties
Its energy above the most stable polymorph in this dataset is 333.4 meV per atom. The density of states at the Fermi level is 1.39 states/eV/f.u. The value obtained for the formation energy (no corrections) is 96 meV per atom.

Cell: 3.254 4.820 4.820 Å, 90.00 90.00 90.00°
Fractional coordinates of all 4 atoms:
Se (0.500, 0.000, 0.000)
Zn (0.000, 0.500, 0.000)
Zn (0.000, 0.000, 0.500)
Br (0.500, 0.500, 0.500)

=====

Material: Sc2Be
Method: DFT, SCAN
State: PBEsol geometry

Properties
For the formation energy from the elements, the calculation gives 0.01 eV per atom. Its energy above the most stable polymorph in this dataset is 51.0 meV per atom. The density of states at the Fermi level is 1.04 states/eV/f.u.

Cell: 4.527 4.527 6.115 Å, 90.00 90.00 120.00°
Fractional coordinates of all 6 atoms:
Sc (0.667, 0.333, 0.250)
Sc (0.000, 0.000, 0.000)
Sc (0.333, 0.667, 0.750)
Sc (0.000, 0.000, 0.500)
Be (0.667, 0.333, 0.750)
Be (0.333, 0.667, 0.250)

=====

Material: ZnFe2Rh
Method: DFT, SCAN
State: PBEsol geometry

Properties
For the formation energy from the elements, the calculation gives -0.19 eV per atom. The density of states at the Fermi level is 2.49 states/eV/f.u.

Cell: 2.931 2.931 5.731 Å, 90.00 90.00 90.00°
Fractional coordinates of all 4 atoms:
Zn (0.500, 0.500, 0.760)
Fe (0.500, 0.500, 0.236)
Fe (0.000, 0.000, 0.009)
Rh (0.000, 0.000, 0.495)

=====

Material: CaZrW2
Method: DFT, SCAN
State: PBEsol geometry

Properties
For the formation energy from the elements, the calculation gives 0.76 eV per atom. Its energy above the most stable polymorph in this dataset is 326.3 meV per atom. The density of states at the Fermi level is 5.37 states/eV/f.u.

Cell: 4.729 4.729 4.729 Å, 60.00 60.00 60.00°
Fractional coordinates of all 4 atoms:
Zr (0.750, 0.750, 0.750)
W (0.250, 0.250, 0.250)
W (0.000, 0.000, 0.000)
Ca (0.500, 0.500, 0.500)

=====

Material: Li3Mn3P4O16
Method: DFT, SCAN
State: PBEsol geometry

Properties
The value obtained for the formation energy (no corrections) is -2386 meV per atom.

Cell: 4.981 8.302 14.299 Å, 100.03 90.00 90.00°
Fractional coordinates of all 52 atoms:
P (0.987, 0.318, 0.402)
P (0.487, 0.182, 0.098)
P (0.980, 0.628, 0.149)
P (0.013, 0.682, 0.598)
P (0.480, 0.872, 0.351)
P (0.513, 0.818, 0.902)
P (0.020, 0.372, 0.851)
P (0.520, 0.128, 0.649)
O (0.892, 0.814, 0.152)
O (0.427, 0.294, 0.188)
O (0.392, 0.686, 0.348)
O (0.073, 0.794, 0.688)
O (0.608, 0.314, 0.652)
O (0.722, 0.611, 0.595)
O (0.072, 0.411, 0.748)
O (0.715, 0.372, 0.873)
O (0.813, 0.510, 0.083)
O (0.313, 0.990, 0.417)
O (0.423, 0.251, 0.007)
O (0.572, 0.089, 0.752)
O (0.108, 0.186, 0.848)
O (0.205, 0.521, 0.589)
O (0.795, 0.479, 0.411)
O (0.577, 0.749, 0.993)
O (0.077, 0.751, 0.507)
O (0.295, 0.021, 0.089)
O (0.778, 0.111, 0.095)
O (0.285, 0.628, 0.127)
O (0.928, 0.589, 0.252)
O (0.687, 0.010, 0.583)
O (0.785, 0.872, 0.373)
O (0.428, 0.911, 0.248)
O (0.215, 0.128, 0.627)
O (0.222, 0.889, 0.905)
O (0.573, 0.706, 0.812)
O (0.705, 0.979, 0.911)
O (0.923, 0.249, 0.493)
O (0.278, 0.389, 0.405)
O (0.187, 0.490, 0.917)
O (0.927, 0.206, 0.312)
Mn (0.000, 0.000, 0.000)
Mn (0.011, 0.684, 0.374)
Mn (0.989, 0.316, 0.626)
Mn (0.511, 0.816, 0.126)
Mn (0.489, 0.184, 0.874)
Mn (0.500, 0.500, 0.500)
Li (0.938, 0.968, 0.773)
Li (0.062, 0.032, 0.227)
Li (0.000, 0.000, 0.500)
Li (0.562, 0.468, 0.273)
Li (0.500, 0.500, 0.000)
Li (0.438, 0.532, 0.727)

=====

Material: Zr2AlN
Method: DFT, SCAN
State: PBEsol geometry

Properties
The density of states at the Fermi level is 1.53 states/eV/f.u. The value obtained for the formation energy (no corrections) is -1237 meV per atom.

Cell: 3.219 3.219 14.352 Å, 90.00 90.00 120.00°
Fractional coordinates of all 8 atoms:
N (0.000, 0.000, 0.000)
N (0.000, 0.000, 0.500)
Al (0.333, 0.667, 0.750)
Al (0.667, 0.333, 0.250)
Zr (0.333, 0.667, 0.412)
Zr (0.667, 0.333, 0.912)
Zr (0.333, 0.667, 0.088)
Zr (0.667, 0.333, 0.588)

=====

Repeat the fourth record exactly.
Material: BaP2RuS
Method: DFT, SCAN
State: PBEsol geometry

Properties
The density of states at the Fermi level is 2.90 states/eV/f.u. The value obtained for the formation energy (no corrections) is -526 meV per atom.

Cell: 4.480 4.480 5.398 Å, 90.00 90.00 90.00°
Fractional coordinates of all 5 atoms:
P (0.000, 0.500, 0.000)
P (0.500, 0.000, 0.000)
S (0.000, 0.000, 0.500)
Ru (0.000, 0.000, 0.000)
Ba (0.500, 0.500, 0.500)

=====

Question: What is the formula in the fourth record?
Answer: BaP2RuS